# AcPrGaI

An optimized crystal structure of AcPrGaI (PBE-GGA, Alexandria).

The raw total energy is -3.926 eV per atom. The uncorrected formation energy is -560 meV per atom.

It has space group F-43m (No. 216), with a = 7.9448 Å, b = 7.9448 Å, c = 7.9448 Å, α = 90.00°, β = 90.00° and γ = 90.00°. Symmetry generates all atoms from Ac at (0.0000, 0.0000, 0.0000), Pr at (0.0000, 0.0000, 0.5000), Ga at (0.2500, 0.2500, 0.2500) and I at (0.2500, 0.2500, 0.7500).